No. 1
## LaMnAl4 (PBE-GGA)

Data for a relaxed structure of LaMnAl4.

Lattice parameters (Å, degrees): 7.812 7.812 7.812 90.00 90.00 90.00
Space group F-43m (No. 216)
Asymmetric unit:
La: 0.000 0.000 0.000
Mn: 0.250 0.250 0.750
Al: 0.125 0.125 0.375

- Crystal system: cubic
- ΔE_f: -0.072 eV per atom

=====

No. 2
## Ac2U2Se7 (PBE-GGA)

Data for a relaxed structure of Ac2U2Se7.

Lattice parameters (Å, degrees): 9.270 10.560 7.072 90.00 90.00 90.00
Space group Cmmm (No. 65)
Asymmetric unit:
Ac: 0.245 0.000 0.000
U: 0.000 0.232 0.500
Se: 0.000 0.000 0.272
Se: 0.000 0.500 0.500
Se: 0.250 0.250 0.250

- Crystal system: orthorhombic
- Formation energy (no corrections): -135 kJ per mole of atoms

=====

No. 3
## AcCuNi3B (PBE-GGA)

Data for a relaxed structure of AcCuNi3B.

Lattice parameters (Å, degrees): 5.519 11.538 5.783 90.00 90.00 90.00
Space group Cmcm (No. 63)
Asymmetric unit:
Ac: 0.000 0.230 0.250
Cu: 0.000 0.123 0.750
Ni: 0.000 0.336 0.750
Ni: 0.235 0.500 0.000
B: 0.000 0.494 0.250

- Crystal system: orthorhombic
- ΔE_f: -0.169 eV per atom

=====

No. 4
## LiMgMn2Se4 (PBE-GGA)

Data for a relaxed structure of LiMgMn2Se4.

Lattice parameters (Å, degrees): 8.203 7.231 6.769 90.00 90.00 90.00
Space group Pmn2_1 (No. 31)
Asymmetric unit:
Li: 0.000 0.170 0.000
Mg: 0.000 0.827 0.498
Mn: 0.249 0.337 0.495
Se: 0.000 0.171 0.380
Se: 0.000 0.829 0.884
Se: 0.246 0.343 0.862

- Crystal system: orthorhombic
- Formation energy (no corrections): -71 kJ per mole of atoms

=====

No. 5
## Ba6PH3N2 (PBE-GGA)

Data for a relaxed structure of Ba6PH3N2.

Lattice parameters (Å, degrees): 7.316 12.706 7.426 90.00 109.40 90.00
Space group C2/m (No. 12)
Asymmetric unit:
Ba: 0.209 0.000 0.230
Ba: 0.239 0.184 0.778
P: 0.000 0.500 0.000
H: 0.000 0.000 0.500
H: 0.000 0.330 0.500
N: 0.000 0.166 0.000

- Crystal system: monoclinic

=====

No. 6
## PmNdErSc (PBE-GGA)

Data for a relaxed structure of PmNdErSc.

Lattice parameters (Å, degrees): 12.190 5.683 3.805 90.00 108.08 90.00
Space group Cm (No. 8)
Asymmetric unit:
Pm: 0.000 0.000 0.000
Nd: 0.225 0.500 0.214
Er: 0.264 0.000 0.755
Sc: 0.491 0.000 0.485

- Crystal system: monoclinic
- ΔE_f: 0.096 eV per atom

=====

No. 7
## TaB4Mo6 (PBE-GGA)

Data for a relaxed structure of TaB4Mo6.

Lattice parameters (Å, degrees): 5.707 5.707 8.417 90.00 90.00 90.00
Space group I-42m (No. 121)
Asymmetric unit:
Ta: 0.000 0.000 0.000
B: 0.136 0.136 0.559
Mo: 0.000 0.500 0.000
Mo: 0.192 0.192 0.277

- Crystal system: tetragonal
- ΔE_f: -0.200 eV per atom

=====

No. 8
## Li8ErZn4 (PBE-GGA)

Data for a relaxed structure of Li8ErZn4.

Lattice parameters (Å, degrees): 9.254 9.254 5.258 90.00 90.00 90.00
Space group I4/mmm (No. 139)
Asymmetric unit:
Li: 0.000 0.218 0.000
Li: 0.000 0.347 0.500
Er: 0.000 0.000 0.500
Zn: 0.250 0.250 0.250

- Crystal system: tetragonal
- ΔE_f: -0.112 eV per atom

=====

No. 9
## K2CuTe (PBE-GGA)

Data for a relaxed structure of K2CuTe.

Lattice parameters (Å, degrees): 3.410 6.226 6.226 90.00 90.03 90.00
Space group Pm (No. 6)
Asymmetric unit:
K: 0.000 0.000 0.000
K: 0.002 0.500 0.502
Cu: 0.498 0.000 0.499
Te: 0.501 0.500 0.002

- Crystal system: monoclinic
- Formation energy (no corrections): -18 kJ per mole of atoms

=====

No. 10
## CaHg2Pb2 (PBE-GGA)

Data for a relaxed structure of CaHg2Pb2.

Lattice parameters (Å, degrees): 4.780 4.780 13.464 90.00 90.00 90.00
Space group I4/mmm (No. 139)
Asymmetric unit:
Ca: 0.000 0.000 0.000
Hg: 0.000 0.000 0.398
Pb: 0.000 0.500 0.250

- Crystal system: tetragonal
- ΔE_f: -0.150 eV per atom

=====

No. 11
## SrTlTe (PBE-GGA)

Data for a relaxed structure of SrTlTe.

Lattice parameters (Å, degrees): 7.817 7.817 7.817 90.00 90.00 90.00
Space group F-43m (No. 216)
Asymmetric unit:
Sr: 0.000 0.000 0.000
Tl: 0.250 0.250 0.750
Te: 0.250 0.250 0.250

- Crystal system: cubic
- Formation energy (no corrections): -55 kJ per mole of atoms

=====

Number 1: DFT total energy -4.92 eV/atom. Number 2: DFT total energy -6.41 eV/atom. Number 3: DFT total energy -5.54 eV/atom. Number 4: DFT total energy -5.21 eV/atom. Number 5: DFT total energy -4.20 eV/atom. Number 6: DFT total energy -5.01 eV/atom. Number 7: DFT total energy -9.61 eV/atom. Number 8: DFT total energy -2.03 eV/atom. Number 9: DFT total energy -2.55 eV/atom. Number 10: DFT total energy -2.15 eV/atom. Number 11: DFT total energy -2.96 eV/atom.